[1]
Material: BaBeSeBr2
Method: DFT, PBE
State: optimized geometry

Calculated values
- E_tot (eV per atom) = -2.55
- formation energy from raw total energies (eV/atom) = -0.050
- symmetry = No. 123

a b c (Å): 6.2822 6.2822 6.6765
angles (deg): 90.00 90.00 90.00
Each line ends with the local moment (μB).
Fractional positions:
Be 0.5000 0.5000 0.5000  0.16
Se 0.0000 0.0000 0.5000  0.82
Ba 0.0000 0.0000 0.0000  -0.01
Br 0.0000 0.5000 0.0000  0.06
Br 0.5000 0.0000 0.0000  0.06

[2]
Material: BaBeSeBr2
Method: DFT, PBE
State: optimized geometry

Calculated values
- E_tot (eV per atom) = -3.68
- formation energy from raw total energies (eV/atom) = -1.183
- symmetry = No. 123

a b c (Å): 5.1013 5.1013 4.8557
angles (deg): 90.00 90.00 90.00
Fractional positions:
Be 0.0000 0.0000 0.0000
Se 0.0000 0.0000 0.5000
Ba 0.5000 0.5000 0.5000
Br 0.0000 0.5000 0.0000
Br 0.5000 0.0000 0.0000

[3]
Material: BaBeSe2Br
Method: DFT, PBE
State: optimized geometry

Calculated values
- E_tot (eV per atom) = -3.88
- formation energy from raw total energies (eV/atom) = -1.021
- symmetry = No. 123

a b c (Å): 4.7178 4.7178 5.5848
angles (deg): 90.00 90.00 90.00
Fractional positions:
Be 0.0000 0.0000 0.0000
Se 0.0000 0.5000 0.0000
Se 0.5000 0.0000 0.0000
Ba 0.5000 0.5000 0.5000
Br 0.0000 0.0000 0.5000

[4]
Material: Ba2BeSeBr
Method: DFT, PBE
State: optimized geometry

Calculated values
- E_tot (eV per atom) = -3.02
- formation energy from raw total energies (eV/atom) = -0.474
- symmetry = No. 123

a b c (Å): 6.2150 4.3754 6.2150
angles (deg): 90.00 90.00 90.00
Fractional positions:
Be 0.0000 0.5000 0.0000
Se 0.5000 0.5000 0.5000
Ba 0.0000 0.0000 0.5000
Ba 0.5000 0.0000 0.0000
Br 0.0000 0.0000 0.0000

[5]
Material: BaBeZnBr2
Method: DFT, PBE
State: optimized geometry

Calculated values
- E_tot (eV per atom) = -1.95
- formation energy from raw total energies (eV/atom) = 0.103
- symmetry = No. 123

a b c (Å): 5.2396 6.4013 5.2396
angles (deg): 90.00 90.00 90.00
Fractional positions:
Be 0.5000 0.5000 0.5000
Zn 0.0000 0.0000 0.0000
Ba 0.0000 0.5000 0.0000
Br 0.0000 0.0000 0.5000
Br 0.5000 0.0000 0.0000

[6]
Material: BaBeC3
Method: DFT, PBE
State: optimized geometry

Calculated values
- E_tot (eV per atom) = -2.64
- energy of formation (meV per atom) = 4028.6
- symmetry = No. 221

a b c (Å): 4.7161 4.7161 4.7161
angles (deg): 90.00 90.00 90.00
Each line ends with the local moment (μB).
Fractional positions:
Be 0.5000 0.5000 0.5000  -0.04
C 0.0000 0.5000 0.0000  0.27
C 0.0000 0.0000 0.5000  0.25
C 0.5000 0.0000 0.0000  0.22
Ba 0.0000 0.0000 0.0000  0.05

[7]
Material: Ba2BeC
Method: DFT, PBE
State: optimized geometry

Calculated values
- E_tot (eV per atom) = -3.04
- energy of formation (meV per atom) = 1158.2
- symmetry = No. 122

a b c (Å): 8.0727 8.0727 7.0304
angles (deg): 54.96 54.96 90.00
Each line ends with the local moment (μB).
Fractional positions:
Be 0.5000 0.5000 0.0000  0.06
Be 0.2500 0.7500 0.5000  0.06
C 0.0000 0.0000 0.0000  0.46
C 0.7500 0.2500 0.5000  0.46
Ba 0.6917 0.1250 0.2500  0.09
Ba 0.0583 0.6250 0.2500  0.09
Ba 0.3750 0.3083 0.7500  0.10
Ba 0.8750 0.9417 0.7500  0.10

[8]
Material: BaBeC2
Method: DFT, PBE
State: optimized geometry

Calculated values
- E_tot (eV per atom) = -5.11
- energy of formation (meV per atom) = 917.3
- symmetry = No. 141

a b c (Å): 4.4150 4.4150 6.7580
angles (deg): 70.93 70.93 90.00
Fractional positions:
Be 0.5000 0.5000 0.0000
Be 0.2500 0.7500 0.5000
C 0.3750 0.1250 0.2500
C 0.3750 0.6250 0.2500
C 0.3750 0.6250 0.7500
C 0.8750 0.6250 0.7500
Ba 0.0000 0.0000 0.0000
Ba 0.7500 0.2500 0.5000